Entry 1:
Material: Tm8Co2Ge
Method: DFT, PBE
State: optimized geometry Values from VASP.

Summary:
Total DFT energy (no corrections) = -5.153 eV per atom
Formation energy from the elements = -2.1 eV per formula unit

The structure in Quantum ESPRESSO input format:
```
&SYSTEM
  ibrav = 0, nat = 11, ntyp = 3
/
ATOMIC_SPECIES
Tm 168.93 Tm.upf
Co 58.93 Co.upf
Ge 72.64 Ge.upf
ATOMIC_POSITIONS crystal
Tm 0.5816 0.3376 0.0730
Tm 0.5816 0.0730 0.3376
Tm 0.1958 0.3847 0.3847
Tm 0.9899 0.2327 0.7665
Tm 0.9899 0.7665 0.2327
Tm 0.7984 0.6342 0.6342
Tm 0.3830 0.9316 0.6617
Tm 0.3830 0.6617 0.9316
Co 0.4946 0.6917 0.3136
Co 0.4946 0.3136 0.6917
Ge 0.1071 0.0066 0.0066
CELL_PARAMETERS angstrom
5.5342 0.1664 -0.8568
-1.7276 6.6656 -2.8082
0.0614 -0.0916 7.4356
```

=====

Entry 2:
Material: AcErMg2
Method: DFT, PBE
State: optimized geometry Values from VASP.

Summary:
Total DFT energy (no corrections) = -3.018 eV per atom
Formation energy from the elements = -0.2 eV per formula unit

The structure in Quantum ESPRESSO input format:
```
&SYSTEM
  ibrav = 0, nat = 4, ntyp = 3
/
ATOMIC_SPECIES
Ac 227.00 Ac.upf
Mg 24.30 Mg.upf
Er 167.26 Er.upf
ATOMIC_POSITIONS crystal
Ac 0.5000 0.5000 0.5000
Mg 0.0000 0.0000 0.7832
Mg 0.0000 0.0000 0.2168
Er 0.5000 0.5000 0.0000
CELL_PARAMETERS angstrom
3.8975 0.0000 0.0000
0.0000 3.8975 0.0000
0.0000 0.0000 8.0670
```

=====

Entry 3:
Material: Nd3Ho7Mg
Method: DFT, PBE
State: optimized geometry Values from VASP.

Summary:
Total DFT energy (no corrections) = -4.177 eV per atom
Formation energy from the elements = 2.0 eV per formula unit

The structure in Quantum ESPRESSO input format:
```
&SYSTEM
  ibrav = 0, nat = 11, ntyp = 3
/
ATOMIC_SPECIES
Nd 144.24 Nd.upf
Ho 164.93 Ho.upf
Mg 24.30 Mg.upf
ATOMIC_POSITIONS crystal
Nd 0.7850 0.5014 0.4986
Nd 0.7850 0.5014 0.0028
Nd 0.7850 0.9972 0.4986
Ho 0.1228 0.1668 0.8332
Ho 0.1228 0.1668 0.3337
Ho 0.1187 0.6667 0.3333
Ho 0.4438 0.8308 0.1692
Ho 0.4438 0.3384 0.1692
Ho 0.4438 0.8308 0.6616
Ho 0.1228 0.6663 0.8332
Mg 0.4414 0.3333 0.6667
CELL_PARAMETERS angstrom
8.6187 0.0000 0.0000
0.0000 7.0025 0.0000
0.0000 -3.5012 6.0643
```